DFT (PBE) results for a relaxed structure of CuMoAu.

Computed properties:
V = 15.784 A^3/atom
Total moment = 0.000 μB per formula unit
E_form = 0.157 eV/atom
Final energy = -70.93 eV for the cell shown

a = 4.576 Å, b = 3.036 Å, c = 13.642 Å
α = 90.00°, β = 92.02°, γ = 90.00°
Space group C2/m (No. 12)
One atom of each set of equivalent atoms:
Cu 0.197 0.000 0.258 x4
Mo 0.102 0.500 0.416 x4
Au 0.184 0.000 0.904 x4

***

DFT (PBE) results for a relaxed structure of Cs2TlCdAu.

Computed properties:
V = 43.351 A^3/atom
Total moment = 0.000 μB per formula unit
E_form = -0.168 eV/atom
Final energy = -18.21 eV for the cell shown

a = 9.060 Å, b = 5.435 Å, c = 9.432 Å
α = 90.00°, β = 111.02°, γ = 90.00°
Space group P2_1/m (No. 11)
One atom of each set of equivalent atoms:
Cs 0.102 0.250 0.337 x2
Cs 0.296 0.250 0.954 x2
Tl 0.437 0.750 0.324 x2
Cd 0.386 0.750 0.625 x2
Au 0.106 0.750 0.079 x2

***

DFT (PBE) results for a relaxed structure of NaNb3Ru.

Computed properties:
V = 19.342 A^3/atom
Total moment = 0.000 μB per formula unit
E_form = 2.293 eV/atom
Final energy = -29.34 eV for the cell shown

a = 4.590 Å, b = 4.590 Å, c = 4.590 Å
α = 90.00°, β = 90.00°, γ = 90.00°
Space group Pm-3m (No. 221)
One atom of each set of equivalent atoms:
Na 0.000 0.000 0.000 x1
Nb 0.000 0.000 0.500 x3
Ru 0.500 0.500 0.500 x1

***

DFT (PBE) results for a relaxed structure of BaMnIr.

Computed properties:
V = 28.050 A^3/atom
Total moment = 0.720 μB per formula unit
E_form = 0.201 eV/atom
Final energy = -38.70 eV for the cell shown

a = 4.181 Å, b = 4.276 Å, c = 10.958 Å
α = 98.15°, β = 91.14°, γ = 119.27°
Space group P-1 (No. 2)
One atom of each set of equivalent atoms:
Ba 0.198 0.425 0.206 x2
Mn 0.075 0.141 0.583 x2
Ir 0.393 0.776 0.584 x2

***

DFT (PBE) results for a relaxed structure of K3Cu2IrO6.

Computed properties:
V = 13.090 A^3/atom
Total moment = 3.167 μB per formula unit
Formation energy from raw total energies = -0.897 eV per atom
Final energy = -121.73 eV for the cell shown

a = 5.478 Å, b = 9.839 Å, c = 6.082 Å
α = 90.00°, β = 106.62°, γ = 90.00°
Space group C2/m (No. 12)
One atom of each set of equivalent atoms:
K 0.000 0.000 0.000 x2
K 0.000 0.326 0.000 x4
Cu 0.000 0.163 0.500 x4
Ir 0.000 0.500 0.500 x2
O 0.224 0.345 0.666 x8
O 0.248 0.000 0.684 x4

***

DFT (PBE) results for a relaxed structure of SiP2Ru.

Computed properties:
V = 18.076 A^3/atom
Total moment = 0.000 μB per formula unit
Formation energy from raw total energies = -0.173 eV per atom
Final energy = -104.85 eV for the cell shown

a = 5.376 Å, b = 5.376 Å, c = 10.006 Å
α = 90.00°, β = 90.00°, γ = 90.00°
Space group I-42d (No. 122)
One atom of each set of equivalent atoms:
Si 0.000 0.000 0.000 x4
P 0.250 0.250 0.125 x8
Ru 0.000 0.000 0.500 x4

***

DFT (PBE) results for a relaxed structure of Ac2Cu2Si.

Computed properties:
V = 25.480 A^3/atom
Total moment = 0.000 μB per formula unit
Formation energy from raw total energies = -0.333 eV per atom
Final energy = -93.99 eV for the cell shown

a = 11.594 Å, b = 4.273 Å, c = 11.356 Å
α = 90.00°, β = 115.07°, γ = 90.00°
Space group C2/m (No. 12)
One atom of each set of equivalent atoms:
Ac 0.098 0.000 0.395 x4
Ac 0.197 0.500 0.136 x4
Cu 0.038 0.000 0.907 x4
Cu 0.110 0.500 0.620 x4
Si 0.077 0.500 0.825 x4

***

DFT (PBE) results for a relaxed structure of LiNd2Ag.

Computed properties:
V = 28.257 A^3/atom
Total moment = 0.000 μB per formula unit
E_form = 0.065 eV/atom
Final energy = -42.13 eV for the cell shown

a = 3.5275 Å, b = 3.5275 Å, c = 31.4662 Å
α = 90.00°, β = 90.00°, γ = 120.00°
Space group R-3m (No. 166, hexagonal axes)
One atom of each set of equivalent atoms:
Li 0.0000 0.0000 0.0000 x3
Nd 0.0000 0.0000 0.2453 x6
Ag 0.0000 0.0000 0.5000 x3